1.
Material: TiCo3Ge
Method: DFT, GGA-PBE
State: optimized geometry

Unit cell a=6.7661 b=9.5141 c=8.2408 alpha=90.00 beta=90.00 gamma=90.00
With the nearest neighbours (Å) after each atom.
Space group Cmcm (No. 63)
One atom of each set of equivalent atoms:
1 Ti 0.0000 0.0777 0.2500 (multiplicity 4)  6 Co 2.53-2.61
2 Ti 0.0000 0.4050 0.2500 (multiplicity 4)  4 Co 2.30-2.36
3 Co 0.0000 0.3883 0.6061 (multiplicity 8)  1 Ti 2.30, 2 Ge 2.31, 3 Co 2.37-2.52
4 Co 0.1666 0.1692 0.7500 (multiplicity 8)  1 Co 2.25, 2 Ge 2.27, 1 Ti 2.36
5 Co 0.1871 0.0000 0.0000 (multiplicity 8)  2 Ge 2.42, 5 Co 2.52-2.62, 2 Ti 2.53
6 Ge 0.2500 0.2500 0.0000 (multiplicity 8)  6 Co 2.27-2.42

VASP energy: -271.36 eV/cell
density of states at the Fermi level: 42.3 states/eV/cell
energy above the lowest structure with this stoichiometry: 0.000 eV/atom
E_form: -18.1 meV/atom

---

2.
Material: Li2Hg3Pd7
Method: DFT, GGA-PBE
State: optimized geometry

Unit cell a=4.6034 b=2.9785 c=14.6658 alpha=90.00 beta=98.89 gamma=90.00
With the nearest neighbours (Å) after each atom.
Space group P2/m (No. 10)
One atom of each set of equivalent atoms:
1 Li 0.1461 0.0000 0.2909 (multiplicity 2)  3 Pd 2.37-2.44
2 Hg 0.0000 0.0000 0.0000 (multiplicity 1)  8 Pd 2.73-2.74, 2 Hg 2.98
3 Hg 0.3179 0.5000 0.6368 (multiplicity 2)  4 Li 2.93-2.94, 2 Hg 2.98, 8 Pd 3.03-3.05
4 Pd 0.0795 0.5000 0.1579 (multiplicity 2)  2 Li 2.44
5 Pd 0.2277 0.0000 0.4546 (multiplicity 2)  1 Li 2.37, 2 Pd 2.65
6 Pd 0.4094 0.0000 0.8198 (multiplicity 2)  8 Pd 2.76-3.01, 2 Li 2.80-2.81, 2 Hg 3.04
7 Pd 0.5000 0.5000 0.0000 (multiplicity 1)  4 Hg 2.74, 6 Pd 2.98-3.01

VASP energy: -42.73 eV/cell
density of states at the Fermi level: 6.2 states/eV/cell
energy above the lowest structure with this stoichiometry: 0.155 eV/atom
E_form: -137.5 meV/atom

---

3.
Material: SmMgSc2Tl4
Method: DFT, GGA-PBE
State: optimized geometry

Unit cell a=5.1488 b=5.1488 c=26.2785 alpha=90.00 beta=90.00 gamma=120.00
With the nearest neighbours (Å) after each atom.
Space group R-3m (No. 166, hexagonal axes)
One atom of each set of equivalent atoms:
1 Sm 0.0000 0.0000 0.0000 (multiplicity 3)  8 Tl 3.21-3.32
2 Mg 0.0000 0.0000 0.5000 (multiplicity 3)  8 Tl 3.15-3.17
3 Sc 0.0000 0.0000 0.2450 (multiplicity 6)  7 Tl 3.12-3.17
4 Tl 0.0000 0.0000 0.1265 (multiplicity 6)  4 Sc 3.12-3.14, 3 Mg 3.15, 1 Sm 3.32
5 Tl 0.0000 0.0000 0.3793 (multiplicity 6)  1 Mg 3.17, 4 Sc 3.17-3.53, 3 Sm 3.21

VASP energy: -90.74 eV/cell
density of states at the Fermi level: 13.8 states/eV/cell
E_form: -225.8 meV/atom

---

4.
Material: LaScP
Method: DFT, GGA-PBE
State: optimized geometry

Unit cell a=6.6748 b=6.6748 c=6.6748 alpha=90.00 beta=90.00 gamma=90.00
With the nearest neighbours (Å) after each atom.
Space group F-43m (No. 216)
One atom of each set of equivalent atoms:
1 La 0.0000 0.0000 0.0000 (multiplicity 4)  4 P 2.89
2 Sc 0.0000 0.0000 0.5000 (multiplicity 4)  4 P 2.89
3 P 0.2500 0.2500 0.2500 (multiplicity 4)  4 La 2.89, 4 Sc 2.89

VASP energy: -76.33 eV/cell
density of states at the Fermi level: 10.5 states/eV/cell
energy above the lowest structure with this stoichiometry: 0.225 eV/atom
E_form: -804.4 meV/atom